1.
Pm2CuSi after structural relaxation. Source: Alexandria via LeMat-Bulk, functional GGA-PBEsol.

Calculated values
Energy = -21.918 eV per cell
Magnetic moment = 0.00 Bohr magnetons per cell
Space-group type = Fm-3m (225)

Lattice parameters (Å, degrees): 4.9893 4.9893 4.9893 60.00 60.00 60.00
Fractional coordinates of all 4 atoms:
Si 0.5000 0.5000 0.5000
Cu 0.0000 0.0000 0.0000
Pm 0.2500 0.2500 0.2500
Pm 0.7500 0.7500 0.7500

=====

2.
MnTlBRh2 after structural relaxation. Source: Alexandria via LeMat-Bulk, functional GGA-PBEsol.

Calculated values
Calculated formation energy = 1775 meV per atom
Magnetic moment = 0.00 Bohr magnetons per cell
Space-group type = P4/mmm (123)

Lattice parameters (Å, degrees): 4.3331 4.3331 4.9135 90.00 90.00 90.00
Fractional coordinates of all 5 atoms:
Tl 0.0000 0.0000 0.5000
Mn 0.0000 0.0000 0.0000
Rh 0.0000 0.5000 0.0000
Rh 0.5000 0.0000 0.0000
B 0.5000 0.5000 0.5000